No. 1
The following is a GGA-PBE calculation of a relaxed Mg2Tl6Pb3 crystal, from Alexandria.

It has space group C2/m (No. 12), with a = 10.113 Å, b = 6.486 Å, c = 10.349 Å, α = 90.00°, β = 90.57° and γ = 90.00°. The inequivalent atoms are Mg at (0.000, 0.000, 0.206), Tl at (0.212, 0.000, 0.002), Tl at (0.249, 0.252, 0.668), Pb at (0.000, 0.000, 0.500) and Pb at (0.002, 0.500, 0.159).

For the formation enthalpy at 0 K, the calculation gives 0.047 eV/atom. The value obtained for the electronic total energy is -56.0 eV per cell. Its crystal system is monoclinic.

No. 2
The following is a GGA-PBE calculation of a relaxed ZrFeCu crystal, from Alexandria.

It has space group P3m1 (No. 156), with a = 2.8593 Å, b = 2.8593 Å, c = 6.7364 Å, α = 90.00°, β = 90.00° and γ = 120.00°. The inequivalent atoms are Zr at (0.0000, 0.0000, 0.0000), Fe at (0.3333, 0.6667, 0.6441) and Cu at (0.6667, 0.3333, 0.3548).

For the formation enthalpy at 0 K, the calculation gives 0.326 eV/atom. The value obtained for the electronic total energy is -20.1 eV per cell. Its crystal system is trigonal.

No. 3
The following is a GGA-PBE calculation of a relaxed HgRu crystal, from Alexandria.

It has space group P4_2/mnm (No. 136), with a = 5.412 Å, b = 5.412 Å, c = 5.527 Å, α = 90.00°, β = 90.00° and γ = 90.00°. The inequivalent atoms are Hg at (0.184, 0.184, 0.000) and Ru at (0.165, 0.165, 0.500).

For the formation enthalpy at 0 K, the calculation gives 1.035 eV/atom. The value obtained for the electronic total energy is -30.0 eV per cell. Its crystal system is tetragonal.

No. 4
The following is a GGA-PBE calculation of a relaxed ScMoC3 crystal, from Alexandria.

It has space group Pm-3m (No. 221), with a = 3.989 Å, b = 3.989 Å, c = 3.989 Å, α = 90.00°, β = 90.00° and γ = 90.00°. The inequivalent atoms are Sc at (0.000, 0.000, 0.000), Mo at (0.500, 0.500, 0.500) and C at (0.000, 0.000, 0.500).

For the formation enthalpy at 0 K, the calculation gives 2.550 eV/atom. The value obtained for the electronic total energy is -32.1 eV per cell. Its crystal system is cubic.

No. 5
The following is a GGA-PBE calculation of a relaxed Pr2Zn3Cu12Ir crystal, from Alexandria.

It has space group R-3m (No. 166, hexagonal axes), with a = 6.1106 Å, b = 6.1106 Å, c = 27.7390 Å, α = 90.00°, β = 90.00° and γ = 120.00°. The inequivalent atoms are Pr at (0.0000, 0.0000, 0.1493), Zn at (0.0000, 0.5000, 0.0000), Cu at (0.0488, 0.5244, 0.0945), Cu at (0.0723, 0.5362, 0.6178) and Ir at (0.0000, 0.0000, 0.5000).

For the formation enthalpy at 0 K, the calculation gives 0.110 eV/atom. The value obtained for the electronic total energy is -208.2 eV per cell. Its crystal system is trigonal.

No. 6
The following is a GGA-PBE calculation of a relaxed Pr12AlSn3 crystal, from Alexandria.

It has space group P4/mmm (No. 123), with a = 4.984 Å, b = 4.984 Å, c = 19.899 Å, α = 90.00°, β = 90.00° and γ = 90.00°. The inequivalent atoms are Pr at (0.000, 0.000, 0.000), Pr at (0.000, 0.000, 0.249), Pr at (0.000, 0.000, 0.500), Pr at (0.000, 0.500, 0.123), Pr at (0.000, 0.500, 0.375), Al at (0.500, 0.500, 0.000), Sn at (0.500, 0.500, 0.248) and Sn at (0.500, 0.500, 0.500).

For the formation enthalpy at 0 K, the calculation gives -0.382 eV/atom. The value obtained for the electronic total energy is -79.2 eV per cell. Its crystal system is tetragonal.

No. 7
The following is a GGA-PBE calculation of a relaxed GePd8Au2 crystal, from Alexandria.

It has space group C2/m (No. 12), with a = 14.945 Å, b = 5.290 Å, c = 4.893 Å, α = 90.00°, β = 108.96° and γ = 90.00°. The inequivalent atoms are Ge at (0.000, 0.000, 0.000), Pd at (0.082, 0.500, 0.237), Pd at (0.084, 0.249, 0.727), Pd at (0.240, 0.500, 0.084) and Au at (0.177, 0.000, 0.337).

For the formation enthalpy at 0 K, the calculation gives -0.008 eV/atom. The value obtained for the electronic total energy is -105.6 eV per cell. Its crystal system is monoclinic.

No. 8
The following is a GGA-PBE calculation of a relaxed PaBeS4 crystal, from Alexandria.

It has space group I-4 (No. 82), with a = 6.104 Å, b = 6.104 Å, c = 6.350 Å, α = 90.00°, β = 90.00° and γ = 90.00°. The inequivalent atoms are Pa at (0.000, 0.000, 0.000), Be at (0.000, 0.500, 0.750) and S at (0.197, 0.230, 0.646).

The value obtained for the electronic total energy is -70.4 eV per cell. Its crystal system is tetragonal.